The following is a GGA-PBE calculation of an optimized crystal structure of Bi2BAs, from Alexandria.

Results
DOS(E_F) in states/eV/cell: 4.46
Magnetic moment in μB/f.u.: 0.00
E above lowest polymorph in kcal/mol of atoms: 0.000
Total energy in eV/cell: -32.87

a = 6.376 Å, b = 6.376 Å, c = 7.156 Å
α = 63.55°, β = 63.55°, γ = 90.00°
Atoms (fractional coordinates):
As (0.000, 0.000, 0.000)
Bi (0.562, 0.125, 0.250)
Bi (0.375, 0.438, 0.750)
As (0.750, 0.250, 0.500)
Bi (0.188, 0.625, 0.250)
Bi (0.875, 0.812, 0.750)
B (0.250, 0.750, 0.500)
B (0.500, 0.500, 0.000)